First-principles (PBE-GGA) data for crystalline ReAsAu2 at its relaxed geometry, as listed in OQMD via LeMat-Bulk.

Unit cell a=6.440 b=6.440 c=6.440 alpha=90.00 beta=90.00 gamma=90.00
Space group F-43m (No. 216)
One atom of each set of equivalent atoms:
1 Re 0.000 0.000 0.000 x4
2 As 0.250 0.250 0.750 x4
3 Au 0.000 0.000 0.500 x4
4 Au 0.250 0.250 0.250 x4

Results
Its total DFT energy (no corrections) is -84.364 eV for the cell shown. As for the calculated volume: 267 Å³/cell.

***

First-principles (PBE-GGA) data for crystalline LaGaHg2 at its relaxed geometry, as listed in OQMD via LeMat-Bulk.

Unit cell a=4.947 b=6.919 c=11.736 alpha=90.00 beta=90.00 gamma=90.00
Space group Amm2 (No. 38)
One atom of each set of equivalent atoms:
1 La 0.000 0.000 0.000 x2
2 La 0.500 0.000 0.330 x2
3 Ga 0.500 0.227 0.583 x4
4 Hg 0.000 0.000 0.507 x2
5 Hg 0.000 0.241 0.738 x4
6 Hg 0.500 0.000 0.820 x2

Results
Its total DFT energy (no corrections) is -41.209 eV for the cell shown. As for the calculated volume: 402 Å³/cell.

***

First-principles (PBE-GGA) data for crystalline LaY2Ni2B2N3 at its relaxed geometry, as listed in OQMD via LeMat-Bulk.

Unit cell a=3.548 b=3.548 c=20.524 alpha=90.00 beta=90.00 gamma=90.00
Space group I4/mmm (No. 139)
One atom of each set of equivalent atoms:
1 La 0.000 0.000 0.000 x2
2 Y 0.000 0.000 0.373 x4
3 Ni 0.000 0.500 0.250 x4
4 B 0.000 0.000 0.193 x4
5 N 0.000 0.000 0.122 x4
6 N 0.000 0.000 0.500 x2

Results
Its total DFT energy (no corrections) is -156.794 eV for the cell shown. As for the calculated volume: 258 Å³/cell.

***

First-principles (PBE-GGA) data for crystalline AlInCuAu at its relaxed geometry, as listed in OQMD via LeMat-Bulk.

Unit cell a=6.534 b=6.534 c=6.534 alpha=90.00 beta=90.00 gamma=90.00
Space group F-43m (No. 216)
One atom of each set of equivalent atoms:
1 Al 0.000 0.000 0.000 x4
2 In 0.000 0.000 0.500 x4
3 Cu 0.250 0.250 0.250 x4
4 Au 0.250 0.250 0.750 x4

Results
For the energy relative to the lowest polymorph listed for this composition, the calculation gives 0 meV/atom. As for the calculated volume: 279 Å³/cell.

***

First-principles (PBE-GGA) data for crystalline ZrHg2 at its relaxed geometry, as listed in OQMD via LeMat-Bulk.

Unit cell a=13.135 b=13.135 c=13.135 alpha=90.00 beta=90.00 gamma=90.00
Space group Fd-3m (No. 227, origin choice 2)
One atom of each set of equivalent atoms:
1 Zr 0.125 0.125 0.125 x8
2 Hg 0.000 0.000 0.000 x16

Results
The value obtained for the energy relative to the elements is 3.57 eV per formula unit. As for the calculated volume: 2266 Å³/cell.

***

First-principles (PBE-GGA) data for crystalline Lu4ZnPbN2 at its relaxed geometry, as listed in OQMD via LeMat-Bulk.

Unit cell a=3.4440 b=3.4440 c=14.7716 alpha=90.00 beta=90.00 gamma=120.00
Space group P-6m2 (No. 187)
One atom of each set of equivalent atoms:
1 Lu 0.0000 0.0000 0.1512 x2
2 Lu 0.3333 0.6667 0.3266 x2
3 Zn 0.3333 0.6667 0.0000 x1
4 Pb 0.0000 0.0000 0.5000 x1
5 N 0.6667 0.3333 0.2463 x2

Results
Its total DFT energy (no corrections) is -47.972 eV for the cell shown. As for the calculated volume: 152 Å³/cell.